VASP calculation (GGA-PBE) on a relaxed structure of CsPuSc.

a = 6.0659 Å, b = 6.0659 Å, c = 6.0659 Å
α = 60.00°, β = 60.00°, γ = 60.00°
Closest atoms and distances in Å follow each position.
Atoms (fractional coordinates):
1 Sc 0.0000 0.0000 0.0000  4 Cs 3.71, 4 Pu 3.71
2 Pu 0.7500 0.7500 0.7500  4 Sc 3.71
3 Cs 0.2500 0.2500 0.2500  4 Sc 3.71

* total magnetization: 2.8322 μB per atom
* total energy: -17.46 eV/cell

***

VASP calculation (GGA-PBE) on a relaxed structure of BaGdU.

a = 5.6847 Å, b = 5.6847 Å, c = 5.6847 Å
α = 60.00°, β = 60.00°, γ = 60.00°
Closest atoms and distances in Å follow each position.
Atoms (fractional coordinates):
1 U 0.0000 0.0000 0.0000  4 Ba 3.48, 4 Gd 3.48
2 Ba 0.2500 0.2500 0.2500  4 U 3.48
3 Gd 0.7500 0.7500 0.7500  4 U 3.48

* total magnetization: 1.9178 μB per atom
* total energy: -13.32 eV/cell

***

VASP calculation (GGA-PBE) on a relaxed structure of ZrCdInCo.

a = 4.6835 Å, b = 4.6835 Å, c = 4.6835 Å
α = 60.00°, β = 60.00°, γ = 60.00°
Closest atoms and distances in Å follow each position.
Atoms (fractional coordinates):
1 In 0.0000 0.0000 0.0000  4 Cd 2.87, 4 Co 2.87
2 Cd 0.2500 0.2500 0.2500  4 In 2.87, 4 Zr 2.87
3 Co 0.7500 0.7500 0.7500  4 Zr 2.87, 4 In 2.87
4 Zr 0.5000 0.5000 0.5000  4 Co 2.87, 4 Cd 2.87

* total magnetization: 0.0000 μB per atom
* total energy: -19.34 eV/cell

***

VASP calculation (GGA-PBE) on a relaxed structure of PrAl5FePd.

a = 6.4249 Å, b = 6.4249 Å, c = 6.4249 Å
α = 143.38°, β = 111.43°, γ = 80.33°
Closest atoms and distances in Å follow each position.
Atoms (fractional coordinates):
1 Al 0.9753 0.6571 0.3182  1 Pd 2.51, 2 Fe 2.54, 1 Al 2.63
2 Al 0.3389 0.6571 0.6818  1 Pd 2.51, 2 Fe 2.54, 1 Al 2.63
3 Al 0.0432 0.3457 0.6974  1 Fe 2.43, 2 Pd 2.62
4 Al 0.6483 0.3457 0.3026  1 Fe 2.43, 2 Pd 2.62
5 Al 0.0051 0.0051 0.0000  1 Fe 2.30, 1 Pd 2.43
6 Pr 0.4923 0.9923 0.5000  2 Fe 3.20, 2 Pd 3.30, 10 Al 3.31-3.54
7 Fe 0.2393 0.2393 0.0000  7 Al 2.30-2.54
8 Pd 0.7577 0.7577 0.0000  7 Al 2.43-2.62

* total magnetization: 0.0818 μB per atom
* total energy: -41.10 eV/cell